1.
VASP calculation (PBE) on an optimized crystal structure of ErPaAl2.

a = 5.0598 Å, b = 5.0598 Å, c = 5.0598 Å
α = 60.00°, β = 60.00°, γ = 60.00°
Last column: nearest neighbours and their distance in Å.
Sites, in units of the cell vectors:
Er 0.0000 0.0000 0.0000  8 Al 3.10
Pa 0.5000 0.5000 0.5000  8 Al 3.10
Al 0.2500 0.2500 0.2500  4 Pa 3.10, 4 Er 3.10
Al 0.7500 0.7500 0.7500  4 Pa 3.10, 4 Er 3.10

Calculated values
Its relative energy among the computed polymorphs is 116.1 meV/atom. The total energy is -0.2027 Ha/atom. The crystal system is cubic.


2.
VASP calculation (PBE) on an optimized crystal structure of CdCo2Ni.

a = 4.6934 Å, b = 4.6934 Å, c = 4.6934 Å
α = 133.95°, β = 133.95°, γ = 67.17°
Last column: nearest neighbours and their distance in Å.
Sites, in units of the cell vectors:
Cd 0.0000 0.0000 0.0000  4 Ni 2.60, 8 Co 2.68
Co 0.2500 0.7500 0.5000  4 Co 2.60, 4 Cd 2.68, 4 Ni 2.68
Co 0.7500 0.2500 0.5000  4 Co 2.60, 4 Cd 2.68, 4 Ni 2.68
Ni 0.5000 0.5000 0.0000  4 Cd 2.60, 8 Co 2.68

Calculated values
Its relative energy among the computed polymorphs is 129.2 meV/atom. The total energy is -0.1816 Ha/atom. The crystal system is tetragonal.


3.
VASP calculation (PBE) on an optimized crystal structure of EuAgGe.

a = 4.6863 Å, b = 4.6863 Å, c = 3.6803 Å
α = 90.00°, β = 90.00°, γ = 120.00°
Last column: nearest neighbours and their distance in Å.
Sites, in units of the cell vectors:
Eu 0.0000 0.0000 0.0000  6 Ge 3.27, 6 Ag 3.27
Ag 0.3333 0.6667 0.5000  3 Ge 2.71
Ge 0.6667 0.3333 0.5000  3 Ag 2.71

Calculated values
The total energy is -0.2350 Ha/atom. The crystal system is hexagonal.


4.
VASP calculation (PBE) on an optimized crystal structure of VMo2Os2.

a = 7.3953 Å, b = 7.3953 Å, c = 2.8981 Å
α = 90.00°, β = 90.00°, γ = 90.00°
Last column: nearest neighbours and their distance in Å.
Sites, in units of the cell vectors:
V 0.0000 0.0000 0.0000  4 Os 2.89, 2 V 2.90, 8 Mo 3.11
V 0.5000 0.5000 0.0000  4 Os 2.89, 2 V 2.90, 8 Mo 3.11
Mo 0.1667 0.3333 0.5000  6 Os 2.55-2.66
Mo 0.3333 0.8333 0.5000  6 Os 2.55-2.66
Mo 0.6667 0.1667 0.5000  6 Os 2.55-2.66
Mo 0.8333 0.6667 0.5000  6 Os 2.55-2.66
Os 0.1330 0.6330 0.0000  6 Mo 2.55-2.66, 1 Os 2.78
Os 0.3670 0.1330 0.0000  6 Mo 2.55-2.66, 1 Os 2.78
Os 0.6330 0.8670 0.0000  6 Mo 2.55-2.66, 1 Os 2.78
Os 0.8670 0.3670 0.0000  6 Mo 2.55-2.66, 1 Os 2.78

Calculated values
Its relative energy among the computed polymorphs is 0.0 meV/atom. The total energy is -0.3817 Ha/atom. The crystal system is tetragonal.


5.
VASP calculation (PBE) on an optimized crystal structure of KTa2TlPd.

a = 5.3361 Å, b = 5.3361 Å, c = 5.2976 Å
α = 90.00°, β = 90.00°, γ = 90.00°
Last column: nearest neighbours and their distance in Å.
Sites, in units of the cell vectors:
K 0.0000 0.0000 0.0000  8 Ta 3.76, 4 Pd 3.77
Ta 0.0000 0.5000 0.5000  2 Tl 2.67
Ta 0.5000 0.0000 0.5000  2 Tl 2.67
Tl 0.5000 0.5000 0.5000  2 Pd 2.65, 4 Ta 2.67
Pd 0.5000 0.5000 0.0000  2 Tl 2.65

Calculated values
The total energy is -0.1686 Ha/atom. The crystal system is tetragonal.


6.
VASP calculation (PBE) on an optimized crystal structure of LaZr2Sc.

a = 5.6401 Å, b = 5.6401 Å, c = 6.0064 Å
α = 96.39°, β = 96.39°, γ = 33.33°
Last column: nearest neighbours and their distance in Å.
Sites, in units of the cell vectors:
La 0.0000 0.0000 0.0000  2 La 3.23, 7 Zr 3.25-3.49, 3 Sc 3.26-3.46
Zr 0.4985 0.4985 0.4978  5 Zr 3.20-3.25, 3 Sc 3.22-3.26, 4 La 3.40-3.42
Zr 0.7597 0.7597 0.2788  2 Sc 3.15, 5 Zr 3.20-3.25, 3 La 3.25-3.49
Sc 0.2431 0.2431 0.7251  5 Zr 3.15-3.26, 2 Sc 3.23, 3 La 3.26-3.46

Calculated values
Its relative energy among the computed polymorphs is 23.2 meV/atom. The total energy is -0.2561 Ha/atom. The crystal system is monoclinic.


7.
VASP calculation (PBE) on an optimized crystal structure of Co2Pt3Rh7.

a = 2.7019 Å, b = 4.2582 Å, c = 15.0036 Å
α = 90.00°, β = 90.00°, γ = 90.00°
Last column: nearest neighbours and their distance in Å.
Sites, in units of the cell vectors:
Co 0.0000 0.0000 0.0000  5 Rh 2.43-2.62, 2 Co 2.70
Co 0.0000 0.5000 0.4161  5 Rh 2.45-2.70, 2 Co 2.70
Pt 0.0000 0.0000 0.6755  5 Rh 2.63-2.76, 2 Pt 2.70
Pt 0.5000 0.0000 0.3394  2 Pt 2.70, 8 Rh 2.77-2.98, 4 Co 2.77
Pt 0.5000 0.5000 0.0716  2 Pt 2.70, 4 Co 2.74, 6 Rh 2.81-2.86
Rh 0.0000 0.0000 0.1621  1 Co 2.43, 4 Rh 2.53-2.70
Rh 0.0000 0.0000 0.5003  2 Co 2.48, 3 Pt 2.63-2.77, 6 Rh 2.70-2.74
Rh 0.0000 0.5000 0.2527  1 Co 2.45, 4 Rh 2.53-2.70
Rh 0.0000 0.5000 0.9077  2 Co 2.54, 8 Rh 2.66-2.72, 2 Pt 2.81
Rh 0.5000 0.0000 0.8505  8 Rh 2.61-2.70, 2 Co 2.62
Rh 0.5000 0.5000 0.5722  7 Rh 2.67-2.74, 2 Co 2.70, 4 Pt 2.96
Rh 0.5000 0.5000 0.7501  7 Rh 2.61-2.72, 4 Pt 2.76

Calculated values
The total energy is -0.2528 Ha/atom. The crystal system is orthorhombic.


8.
VASP calculation (PBE) on an optimized crystal structure of CeBPt2.

a = 8.4009 Å, b = 8.4009 Å, c = 8.4009 Å
α = 21.61°, β = 21.61°, γ = 21.61°
Last column: nearest neighbours and their distance in Å.
Sites, in units of the cell vectors:
Ce 0.0000 0.0000 0.0000  2 Pt 2.90, 6 Ce 3.15
B 0.5000 0.5000 0.5000  6 Pt 2.18
Pt 0.1178 0.1178 0.1178  3 B 2.18
Pt 0.8822 0.8822 0.8822  3 B 2.18

Calculated values
The total energy is -0.2293 Ha/atom. The crystal system is trigonal.


9.
VASP calculation (PBE) on an optimized crystal structure of MnAgS4.

a = 6.6922 Å, b = 6.8854 Å, c = 7.0630 Å
α = 67.28°, β = 72.05°, γ = 63.08°
Last column: nearest neighbours and their distance in Å.
Sites, in units of the cell vectors:
Mn 0.2085 0.2134 0.0006  6 S 2.34-2.42
Mn 0.7915 0.7866 0.9994  6 S 2.34-2.42
Ag 0.1711 0.9138 0.8343  2 S 2.54-2.56, 1 Mn 2.82
Ag 0.8289 0.0862 0.1657  2 S 2.54-2.56, 1 Mn 2.82
S 0.0011 0.7669 0.6652  1 S 2.08
S 0.1121 0.4979 0.1679  1 S 2.08
S 0.3852 0.1785 0.6661  1 S 2.07
S 0.4101 0.8157 0.1692  1 S 2.07
S 0.5899 0.1843 0.8308  1 S 2.07
S 0.6148 0.8215 0.3339  1 S 2.07
S 0.8879 0.5021 0.8321  1 S 2.08
S 0.9989 0.2331 0.3348  1 S 2.08

Calculated values
The total energy is -0.1763 Ha/atom. The crystal system is triclinic.


10.
VASP calculation (PBE) on an optimized crystal structure of EuTmRh2.

a = 3.3968 Å, b = 3.3968 Å, c = 7.1054 Å
α = 90.00°, β = 90.00°, γ = 90.00°
Last column: nearest neighbours and their distance in Å.
Sites, in units of the cell vectors:
Eu 0.0000 0.0000 0.0000  8 Rh 3.10, 4 Eu 3.40
Tm 0.0000 0.0000 0.5000  8 Rh 2.88
Rh 0.5000 0.5000 0.2757  4 Tm 2.88, 4 Eu 3.10, 1 Rh 3.19
Rh 0.5000 0.5000 0.7243  4 Tm 2.88, 4 Eu 3.10, 1 Rh 3.19

Calculated values
The total energy is -0.2952 Ha/atom. The crystal system is tetragonal.


11.
VASP calculation (PBE) on an optimized crystal structure of TiSi2I.

a = 4.7797 Å, b = 4.7797 Å, c = 4.7797 Å
α = 60.00°, β = 60.00°, γ = 60.00°
Last column: nearest neighbours and their distance in Å.
Sites, in units of the cell vectors:
Ti 0.0000 0.0000 0.0000  8 Si 2.93
Si 0.2500 0.2500 0.2500  4 I 2.93, 4 Ti 2.93
Si 0.7500 0.7500 0.7500  4 Ti 2.93, 4 I 2.93
I 0.5000 0.5000 0.5000  8 Si 2.93

Calculated values
Its relative energy among the computed polymorphs is 374.6 meV/atom. The total energy is -0.1553 Ha/atom. The crystal system is cubic.


12.
VASP calculation (PBE) on an optimized crystal structure of Hf4RhPb.

a = 7.4047 Å, b = 7.4047 Å, c = 5.5514 Å
α = 100.10°, β = 100.10°, γ = 115.72°
Last column: nearest neighbours and their distance in Å.
Sites, in units of the cell vectors:
Hf 0.0925 0.7082 0.9402  2 Rh 2.85-2.91, 2 Pb 3.01-3.16, 4 Hf 3.02-3.13
Hf 0.1814 0.3710 0.6412  2 Rh 2.68-2.82
Hf 0.2918 0.9075 0.5598  2 Rh 2.85-2.91, 2 Pb 3.01-3.16, 4 Hf 3.02-3.13
Hf 0.3710 0.1814 0.1412  2 Rh 2.68-2.82
Hf 0.6290 0.8186 0.8588  2 Rh 2.68-2.82
Hf 0.7082 0.0925 0.4402  2 Rh 2.85-2.91, 2 Pb 3.01-3.16, 4 Hf 3.02-3.13
Hf 0.8186 0.6290 0.3588  2 Rh 2.68-2.82
Hf 0.9075 0.2918 0.0598  2 Rh 2.85-2.91, 2 Pb 3.01-3.16, 4 Hf 3.02-3.13
Rh 0.0062 0.9938 0.2500  8 Hf 2.68-2.91, 2 Rh 2.78
Rh 0.9938 0.0062 0.7500  8 Hf 2.68-2.91, 2 Rh 2.78
Pb 0.3933 0.6067 0.2500  10 Hf 3.01-3.26
Pb 0.6067 0.3933 0.7500  10 Hf 3.01-3.26

Calculated values
The total energy is -0.3202 Ha/atom. The crystal system is monoclinic.